The following is a DFT calculation (PBE) of a geometry-optimized SrBeBr2 structure.

Calculated values
- total energy (eV for the cell shown) = -11.87
- space-group type = Cm, No. 8
- ΔE_f (raw) (meV/atom) = -780
- polymorph energy (0 for the lowest one) (eV/f.u.) = 0.17
- total moment (μB per atom) = 0.000

Unit cell a=10.3062 b=10.3062 c=4.3247 alpha=65.72 beta=65.72 gamma=20.67
Fractional coordinates of all 4 atoms:
Be (0.1942, 0.1942, 0.1071)
Br (0.9818, 0.9818, 0.0454)
Br (0.7670, 0.7670, 0.9492)
Sr (0.5570, 0.5570, 0.3983)

---

The following is a DFT calculation (PBE) of a geometry-optimized In3Ag2 structure.

Calculated values
- total energy (eV for the cell shown) = -13.75
- space-group type = R-3m, No. 166
- energy of formation from the pure elements (meV/atom) = 33
- polymorph energy (0 for the lowest one) (eV/f.u.) = 0.05
- total moment (μB per atom) = 0.000

Unit cell a=11.5443 b=11.5443 c=11.5443 alpha=16.83 beta=16.83 gamma=16.83
Fractional coordinates of all 5 atoms:
In (0.7961, 0.7961, 0.7961)
In (0.0000, 0.0000, 0.0000)
In (0.2039, 0.2039, 0.2039)
Ag (0.3981, 0.3981, 0.3981)
Ag (0.6019, 0.6019, 0.6019)

---

The following is a DFT calculation (PBE) of a geometry-optimized PmNdBi2 structure.

Calculated values
- total energy (eV for the cell shown) = -41.65
- space-group type = P6_3/mmc, No. 194
- energy of formation from the pure elements (meV/atom) = -886
- polymorph energy (0 for the lowest one) (eV/f.u.) = 0.24
- total moment (μB per atom) = 0.000

Unit cell a=4.5858 b=4.5858 c=15.1382 alpha=90.00 beta=90.00 gamma=120.00
Fractional coordinates of all 8 atoms:
Pm (0.6667, 0.3333, 0.2500)
Nd (0.0000, 0.0000, 0.0000)
Pm (0.3333, 0.6667, 0.7500)
Bi (0.6667, 0.3333, 0.8764)
Bi (0.6667, 0.3333, 0.6236)
Nd (0.0000, 0.0000, 0.5000)
Bi (0.3333, 0.6667, 0.1236)
Bi (0.3333, 0.6667, 0.3764)

---

The following is a DFT calculation (PBE) of a geometry-optimized CsZn3Sb3 structure.

Calculated values
- total energy (eV for the cell shown) = -36.01
- space-group type = R-3, No. 148
- ΔE_f (raw) (meV/atom) = -138
- polymorph energy (0 for the lowest one) (eV/f.u.) = 0.27
- total moment (μB per atom) = 0.000

Unit cell a=7.3215 b=7.3215 c=10.8589 alpha=70.30 beta=70.30 gamma=60.00
Fractional coordinates of all 14 atoms:
Sb (0.4274, 0.1011, 0.6977)
Zn (0.5191, 0.1964, 0.4252)
Sb (0.1011, 0.7738, 0.6977)
Sb (0.8989, 0.2262, 0.3023)
Sb (0.7738, 0.4274, 0.6977)
Zn (0.4809, 0.8036, 0.5748)
Zn (0.8036, 0.1407, 0.5748)
Zn (0.1964, 0.8593, 0.4252)
Sb (0.5726, 0.8989, 0.3023)
Cs (0.3333, 0.3333, 0.0001)
Sb (0.2262, 0.5726, 0.3023)
Zn (0.1407, 0.4809, 0.5748)
Zn (0.8593, 0.5191, 0.4252)
Cs (0.6667, 0.6667, 0.9999)

---

The following is a DFT calculation (PBE) of a geometry-optimized La5Zn2Pb5 structure.

Calculated values
- total energy (eV for the cell shown) = -52.05
- space-group type = C2/m, No. 12
- energy of formation from the pure elements (meV/atom) = -527
- total moment (μB per atom) = 0.000

Unit cell a=4.7673 b=8.7852 c=9.4164 alpha=80.00 beta=75.34 gamma=74.26
Fractional coordinates of all 12 atoms:
Pb (0.9341, 0.7691, 0.3626)
Pb (0.0659, 0.2309, 0.6374)
La (0.5000, 0.5000, 0.5000)
Zn (0.8635, 0.5481, 0.7249)
La (0.3948, 0.2961, 0.9142)
Pb (0.7552, 0.3141, 0.1756)
Zn (0.1365, 0.4519, 0.2751)
La (0.6052, 0.7039, 0.0858)
Pb (0.2448, 0.6859, 0.8244)
La (0.3070, 0.0620, 0.3239)
Pb (0.0000, 0.0000, 0.0000)
La (0.6930, 0.9380, 0.6761)

---

The following is a DFT calculation (PBE) of a geometry-optimized LiPm4Pr structure.

Calculated values
- total energy (eV for the cell shown) = -25.41
- space-group type = P4/mmm, No. 123
- energy of formation from the pure elements (meV/atom) = 48
- total moment (μB per atom) = 0.000

Unit cell a=3.6778 b=3.6778 c=14.4003 alpha=89.99 beta=89.99 gamma=89.99
Fractional coordinates of all 6 atoms:
Pm (0.0000, 0.0000, 0.3584)
Pm (0.0000, 0.0000, 0.6416)
Li (0.5000, 0.5000, 0.5000)
Pm (0.5002, 0.5002, 0.8172)
Pm (0.4998, 0.4998, 0.1828)
Pr (0.0000, 0.0000, 0.0000)

---

The following is a DFT calculation (PBE) of a geometry-optimized Pm2CdSb structure.

Calculated values
- total energy (eV for the cell shown) = -16.86
- space-group type = Fm-3m, No. 225
- ΔE_f (raw) (meV/atom) = -581
- polymorph energy (0 for the lowest one) (eV/f.u.) = 0.33
- total moment (μB per atom) = 0.000

Unit cell a=5.4183 b=5.4183 c=5.4183 alpha=60.00 beta=60.00 gamma=60.00
Fractional coordinates of all 4 atoms:
Pm (0.2500, 0.2500, 0.2500)
Cd (0.5000, 0.5000, 0.5000)
Sb (0.0000, 0.0000, 0.0000)
Pm (0.7500, 0.7500, 0.7500)

---

- Look up the total moment of the sixth one.
  0.000 μB per atom

---

- Which formula does entry 4 have?
  CsZn3Sb3

---

- The highest total energy belongs to which entry?
  SrBeBr2